No. 1
This record from Alexandria describes a relaxed structure of Ta2TcMo. The functional is PBEsol.

Its electronic total energy is -98.401 eV for the cell shown. The value obtained for the distance to the lowest polymorph of the same formula is 0.069 eV per atom. As for the formation energy: -0.266 eV per atom.

The space group is Imm2 (No. 44) and the conventional cell measures 3.1678, 4.4518 and 9.0855 Å, with angles of 90.00, 90.00 and 90.00 degrees. Symmetry generates all atoms from Ta at (0.0000, 0.0000, 0.0000), Ta at (0.0000, 0.5000, 0.2408), Tc at (0.0000, 0.0000, 0.4937) and Mo at (0.0000, 0.5000, 0.7494).

=====

No. 2
This record from Alexandria describes a relaxed structure of Ta2TeMo. The functional is PBEsol.

Its electronic total energy is -39.285 eV for the cell shown. The uncorrected formation energy is 0.28 eV/atom.

The space group is P4/mmm (No. 123) and the conventional cell measures 4.5724, 4.5724 and 3.3930 Å, with angles of 90.00, 90.00 and 90.00 degrees. Symmetry generates all atoms from Ta at (0.0000, 0.5000, 0.0000), Te at (0.0000, 0.0000, 0.5000) and Mo at (0.5000, 0.5000, 0.5000).

=====

No. 3
This record from Alexandria describes a relaxed structure of Ta2TeMo. The functional is PBEsol.

Its electronic total energy is -39.282 eV for the cell shown. The uncorrected formation energy is 0.28 eV/atom.

The space group is P2/m (No. 10) and the conventional cell measures 2.9775, 4.7084 and 5.1895 Å, with angles of 90.00, 90.59 and 90.00 degrees. Symmetry generates all atoms from Ta at (0.1798, 0.0000, 0.2354), Te at (0.0000, 0.5000, 0.5000) and Mo at (0.5000, 0.5000, 0.0000).

=====

No. 4
This record from Alexandria describes a relaxed structure of Ta2TeMo. The functional is PBEsol.

Its electronic total energy is -78.635 eV for the cell shown. The uncorrected formation energy is 0.27 eV/atom.

The space group is I4/mmm (No. 139) and the conventional cell measures 3.9988, 3.9988 and 8.7682 Å, with angles of 90.00, 90.00 and 90.00 degrees. Symmetry generates all atoms from Ta at (0.0000, 0.5000, 0.2500), Te at (0.0000, 0.0000, 0.0000) and Mo at (0.0000, 0.0000, 0.5000).

=====

No. 5
This record from Alexandria describes a relaxed structure of Ta2TeMo. The functional is PBEsol.

Its electronic total energy is -79.619 eV for the cell shown. The uncorrected formation energy is 0.15 eV/atom.

The space group is Imm2 (No. 44) and the conventional cell measures 3.3827, 4.4779 and 9.2747 Å, with angles of 90.00, 90.00 and 90.00 degrees. Symmetry generates all atoms from Ta at (0.0000, 0.0000, 0.0000), Ta at (0.0000, 0.5000, 0.2476), Te at (0.0000, 0.0000, 0.4857) and Mo at (0.0000, 0.5000, 0.7386).

=====

No. 6
This record from Alexandria describes a relaxed structure of TaTi3Mo. The functional is PBEsol.

Its electronic total energy is -42.039 eV for the cell shown. As for the formation energy: 1.449 eV per atom.

The space group is Pm-3m (No. 221) and the conventional cell measures 4.6184, 4.6184 and 4.6184 Å, with angles of 90.00, 90.00 and 90.00 degrees. Symmetry generates all atoms from Ta at (0.0000, 0.0000, 0.0000), Ti at (0.0000, 0.0000, 0.5000) and Mo at (0.5000, 0.5000, 0.5000).

=====

No. 7
This record from Alexandria describes a relaxed structure of TaTiMo. The functional is PBEsol.

Its electronic total energy is -131.948 eV for the cell shown. As for the formation energy: -0.115 eV per atom.

The space group is C2/m (No. 12) and the conventional cell measures 9.6399, 4.4565 and 5.5252 Å, with angles of 90.00, 124.79 and 90.00 degrees. Symmetry generates all atoms from Ta at (0.1738, 0.0000, 0.1006), Ti at (0.0171, 0.5000, 0.2639) and Mo at (0.1603, 0.0000, 0.5844).

=====

No. 8
This record from Alexandria describes a relaxed structure of Ta2TlMo. The functional is PBEsol.

Its electronic total energy is -37.754 eV for the cell shown. The value obtained for the distance to the lowest polymorph of the same formula is 0.233 eV per atom. As for the formation energy: 0.437 eV per atom.

The space group is Pmm2 (No. 25) and the conventional cell measures 2.8763, 4.2989 and 5.8600 Å, with angles of 90.00, 90.00 and 90.00 degrees. Symmetry generates all atoms from Ta at (0.0000, 0.0000, 0.0000), Ta at (0.5000, 0.5000, 0.2401), Tl at (0.0000, 0.0000, 0.5065) and Mo at (0.5000, 0.5000, 0.7713).

=====

No. 9
This record from Alexandria describes a relaxed structure of Ta2TlMo. The functional is PBEsol.

Its electronic total energy is -38.688 eV for the cell shown. The value obtained for the distance to the lowest polymorph of the same formula is 0.000 eV per atom. As for the formation energy: 0.203 eV per atom.

The space group is P4/mmm (No. 123) and the conventional cell measures 3.3615, 3.3615 and 6.3388 Å, with angles of 90.00, 90.00 and 90.00 degrees. Symmetry generates all atoms from Ta at (0.0000, 0.0000, 0.2232), Tl at (0.5000, 0.5000, 0.5000) and Mo at (0.5000, 0.5000, 0.0000).

=====

No. 10
This record from Alexandria describes a relaxed structure of Ta2TlMo. The functional is PBEsol.

Its electronic total energy is -114.324 eV for the cell shown. The value obtained for the distance to the lowest polymorph of the same formula is 0.145 eV per atom. As for the formation energy: 0.348 eV per atom.

The space group is R-3m (No. 166, hexagonal axes) and the conventional cell measures 3.1261, 3.1261 and 26.5275 Å, with angles of 90.00, 90.00 and 120.00 degrees. Symmetry generates all atoms from Ta at (0.0000, 0.0000, 0.2405), Tl at (0.0000, 0.0000, 0.0000) and Mo at (0.0000, 0.0000, 0.5000).

=====

No. 11
This record from Alexandria describes a relaxed structure of Ta2TlMo. The functional is PBEsol.

Its electronic total energy is -76.170 eV for the cell shown. The value obtained for the distance to the lowest polymorph of the same formula is 0.151 eV per atom. As for the formation energy: 0.354 eV per atom.

The space group is I4/mmm (No. 139) and the conventional cell measures 4.1930, 4.1930 and 8.0675 Å, with angles of 90.00, 90.00 and 90.00 degrees. Symmetry generates all atoms from Ta at (0.0000, 0.5000, 0.2500), Tl at (0.0000, 0.0000, 0.0000) and Mo at (0.0000, 0.0000, 0.5000).

=====

No. 12
This record from Alexandria describes a relaxed structure of TaMo2W. The functional is PBEsol.

Its electronic total energy is -50.249 eV for the cell shown. The value obtained for the distance to the lowest polymorph of the same formula is 0.046 eV per atom. As for the formation energy: -0.089 eV per atom.

The space group is P2/m (No. 10) and the conventional cell measures 2.7575, 4.4539 and 5.2477 Å, with angles of 90.00, 99.96 and 90.00 degrees. Symmetry generates all atoms from Ta at (0.0000, 0.0000, 0.0000), Mo at (0.2537, 0.5000, 0.7483) and W at (0.5000, 0.0000, 0.5000).